# CoH2F PBE with a Hubbard U optimized geometry
data_CoH2F
_cell_length_a 5.485
_cell_length_b 5.485
_cell_length_c 3.978
_cell_angle_alpha 90.00
_cell_angle_beta 90.00
_cell_angle_gamma 90.00
_space_group_name_H-M_alt 'I -4 2 d'
_space_group_IT_number 122
_space_group_name_Hall 'I -4 2bw'
loop_
_atom_site_label
_atom_site_type_symbol
_atom_site_fract_x
_atom_site_fract_y
_atom_site_fract_z
Co1 Co 0.000 0.000 0.000
H1 H 0.144 0.250 0.125
F1 F 0.000 0.000 0.500
# Energy above the lowest structure with this stoichiometry   0.0000 eV/atom
# Total magnetic moment   0.478 μB per atom
# Crystal system   tetragonal
# Electronic total energy   -54.44 eV/cell

# KW3O PBE with a Hubbard U optimized geometry
data_KW3O
_cell_length_a 4.397
_cell_length_b 4.397
_cell_length_c 4.397
_cell_angle_alpha 90.00
_cell_angle_beta 90.00
_cell_angle_gamma 90.00
_space_group_name_H-M_alt 'P m -3 m'
_space_group_IT_number 221
_space_group_name_Hall '-P 4 2 3'
loop_
_atom_site_label
_atom_site_type_symbol
_atom_site_fract_x
_atom_site_fract_y
_atom_site_fract_z
K1 K 0.000 0.000 0.000
W1 W 0.000 0.500 0.500
O1 O 0.500 0.500 0.500
# Energy above the lowest structure with this stoichiometry   0.0000 eV/atom
# Total magnetic moment   0.002 μB per atom
# Crystal system   cubic
# Electronic total energy   -19.09 eV/cell